CsCoAs: relaxed, PBE-GGA.

POSCAR file:
```
CsCoAs
1.0
4.2063 0.0000 0.0000
-0.0409 6.8211 0.0000
-2.0687 -2.0173 6.6525
Cs Co As
2 2 2
Cartesian
-0.0245 1.7358 1.3209
2.1212 3.0680 5.3316
-0.0252 5.3789 2.7154
2.1219 -0.5751 3.9371
0.0158 -0.2333 4.6452
2.0809 5.0371 2.0073
```

The calculation puts the energy of formation at -236 meV per atom. The symmetry is P-1. Its total energy is -4.4391 eV per atom.

***

Pu3Ru2Pb: relaxed, PBE-GGA.

POSCAR file:
```
Pu3Ru2Pb
1.0
-3.7821 5.3568 3.5714
3.7821 -5.3568 3.5714
3.7821 5.3568 -3.5714
Pu Ru Pb
6 4 2
Cartesian
1.5224 0.0000 0.0000
6.0418 0.0000 0.0000
-1.8910 2.6784 1.7857
1.5224 5.3568 0.0000
1.8910 2.6784 1.7857
2.2597 0.0000 3.5714
3.7821 0.6401 1.2815
0.0000 0.6401 2.2900
3.7821 4.7167 1.2815
0.0000 4.7167 2.2900
3.7821 2.6784 -1.3557
0.0000 2.6784 4.9272
```

The calculation puts the energy of formation at 21 meV per atom. The symmetry is Imma. Its total energy is -10.8552 eV per atom.

***

Ce3Bi2As: relaxed, PBE-GGA.

POSCAR file:
```
Ce3Bi2As
1.0
3.8995 -6.7031 0.0000
3.8995 6.7031 0.0000
-2.5561 0.0000 7.2699
Ce Bi As
6 4 2
Cartesian
1.9497 3.3516 0.0000
0.4884 1.0241 3.6048
-0.7896 -1.0241 7.2398
0.6717 -3.3516 3.6350
6.0325 1.0241 0.0301
4.7544 -1.0241 3.6651
1.9824 3.2474 5.4524
3.2604 1.0980 1.8175
1.9824 -1.0980 5.4524
3.2604 -3.2474 1.8175
3.2604 5.5300 1.8175
1.9824 -5.5300 5.4524
```

The calculation puts the energy of formation at -964 meV per atom. The symmetry is C2/c. Its total energy is -5.9992 eV per atom.

***

Dy2UN4: relaxed, PBE-GGA.

POSCAR file:
```
Dy2UN4
1.0
5.8092 0.0000 0.0000
0.0000 9.7557 0.0000
0.0000 0.0000 3.5326
Dy U N
4 2 8
Cartesian
0.3675 1.7295 0.0000
2.5370 6.6074 0.0000
3.2721 3.1483 0.0000
5.4416 8.0261 0.0000
0.0000 4.8778 1.7663
2.9046 0.0000 1.7663
0.8494 6.7809 1.7663
1.3449 4.4595 0.0000
1.5597 9.3373 0.0000
2.0552 1.9031 1.7663
3.7540 7.8525 1.7663
4.2495 0.4183 0.0000
4.4643 5.2961 0.0000
4.9598 2.9747 1.7663
```

As for the raw formation energy: -155.0 kJ per mole of atoms. The symmetry is Pbam. Its total energy is -9.2911 eV per atom.